No. 1
Entry from Alexandria: crystalline K4Ho3SnS8 at its relaxed geometry (PBE).

a b c (Å): 8.711 8.711 8.711
angles (deg): 55.29 55.29 55.29
Fractional positions:
K1 0.000 0.000 0.000
K2 0.000 0.500 0.500
K3 0.500 0.000 0.500
K4 0.500 0.500 0.000
Ho1 0.000 0.000 0.500
Ho2 0.000 0.500 0.000
Ho3 0.500 0.000 0.000
Sn1 0.500 0.500 0.500
S1 0.232 0.734 0.734
S2 0.234 0.234 0.234
S3 0.266 0.266 0.768
S4 0.266 0.768 0.266
S5 0.734 0.232 0.734
S6 0.734 0.734 0.232
S7 0.766 0.766 0.766
S8 0.768 0.266 0.266

The calculated total energy comes out at -5.044 eV per atom. As for the formation energy (no corrections): -1.597 eV per atom. The calculation puts the density of states at the Fermi level at 0.098 states/eV per atom. As for the space group: R-3m, No. 166.


No. 2
Entry from Alexandria: crystalline TbPm2Pr3Sm6 at its relaxed geometry (PBE).

a b c (Å): 6.323 6.323 12.096
angles (deg): 95.02 95.02 120.00
Fractional positions:
Tb1 0.000 0.000 0.000
Pm1 0.333 0.667 0.000
Pm2 0.667 0.333 0.000
Pr1 0.167 0.833 0.500
Pr2 0.500 0.500 0.500
Pr3 0.833 0.167 0.500
Sm1 0.082 0.415 0.247
Sm2 0.250 0.250 0.752
Sm3 0.415 0.082 0.247
Sm4 0.585 0.918 0.753
Sm5 0.750 0.750 0.248
Sm6 0.918 0.585 0.753

The calculated formation energy is 0.014 eV/atom. The calculated total energy comes out at -4.718 eV per atom. The calculation puts the density of states at the Fermi level at 1.461 states/eV per atom. As for the space group: C2/m, No. 12.


No. 3
Entry from Alexandria: crystalline Zn3CdPd at its relaxed geometry (PBE).

a b c (Å): 4.845 4.845 4.845
angles (deg): 90.00 90.00 90.00
Fractional positions:
Zn1 0.000 0.000 0.500
Zn2 0.000 0.500 0.000
Zn3 0.500 0.000 0.000
Cd1 0.500 0.500 0.500
Pd1 0.000 0.000 0.000

The calculated formation energy is 0.085 eV/atom. The calculated total energy comes out at -1.901 eV per atom. For the energy above the lowest structure with this stoichiometry, the calculation gives 269.4 meV/atom. The calculation puts the density of states at the Fermi level at 0.308 states/eV per atom. As for the space group: Pm-3m, No. 221.


No. 4
Entry from Alexandria: crystalline BaAgIr2 at its relaxed geometry (PBE).

a b c (Å): 3.094 3.094 8.474
angles (deg): 90.00 90.00 90.00
Fractional positions:
Ba1 0.000 0.000 0.000
Ag1 0.000 0.000 0.500
Ir1 0.500 0.500 0.292
Ir2 0.500 0.500 0.708

The calculated formation energy is 0.758 eV/atom. The calculated total energy comes out at -4.866 eV per atom. For the energy above the lowest structure with this stoichiometry, the calculation gives 769.6 meV/atom. The calculation puts the density of states at the Fermi level at 1.495 states/eV per atom. As for the space group: P4/mmm, No. 123.


No. 5
Entry from Alexandria: crystalline CsErS4 at its relaxed geometry (PBE).

a b c (Å): 5.951 5.951 8.667
angles (deg): 90.00 90.00 90.00
Fractional positions:
Cs1 0.250 0.250 0.000
Cs2 0.750 0.750 0.000
Er1 0.250 0.250 0.500
Er2 0.750 0.750 0.500
S1 0.124 0.624 0.315
S2 0.124 0.876 0.685
S3 0.376 0.624 0.685
S4 0.376 0.876 0.315
S5 0.624 0.124 0.685
S6 0.624 0.376 0.315
S7 0.876 0.124 0.315
S8 0.876 0.376 0.685

The calculated total energy comes out at -4.859 eV per atom. As for the formation energy (no corrections): -1.205 eV per atom. As for the space group: P4/nbm, No. 125.


No. 6
Entry from Alexandria: crystalline Ba2YRh2 at its relaxed geometry (PBE).

a b c (Å): 7.540 7.540 5.095
angles (deg): 90.00 90.00 90.00
Fractional positions:
Ba1 0.173 0.327 0.000
Ba2 0.327 0.827 0.000
Ba3 0.673 0.173 0.000
Ba4 0.827 0.673 0.000
Y1 0.000 0.000 0.500
Y2 0.500 0.500 0.500
Rh1 0.123 0.623 0.500
Rh2 0.377 0.123 0.500
Rh3 0.623 0.877 0.500
Rh4 0.877 0.377 0.500

The calculated formation energy is -0.172 eV/atom. The calculated total energy comes out at -5.175 eV per atom. The calculation puts the density of states at the Fermi level at 1.056 states/eV per atom. As for the space group: P4/mbm, No. 127.


No. 7
Entry from Alexandria: crystalline Co3GeB at its relaxed geometry (PBE).

a b c (Å): 4.286 4.286 4.286
angles (deg): 90.00 90.00 90.00
Fractional positions:
Co1 0.000 0.000 0.500
Co2 0.000 0.500 0.000
Co3 0.500 0.000 0.000
Ge1 0.000 0.000 0.000
B1 0.500 0.500 0.500

The calculated formation energy is 1.667 eV/atom. The calculated total energy comes out at -4.855 eV per atom. For the energy above the lowest structure with this stoichiometry, the calculation gives 1779.7 meV/atom. The calculation puts the density of states at the Fermi level at 1.931 states/eV per atom. As for the space group: Pm-3m, No. 221.


No. 8
Entry from Alexandria: crystalline PrPIr3 at its relaxed geometry (PBE).

a b c (Å): 6.051 6.051 6.051
angles (deg): 140.79 140.79 56.66
Fractional positions:
Pr1 0.000 0.000 0.000
P1 0.373 0.373 0.000
Ir1 0.258 0.758 0.500
Ir2 0.586 0.586 0.000
Ir3 0.758 0.258 0.500

The calculated formation energy is -0.724 eV/atom. The calculated total energy comes out at -8.078 eV per atom. The calculation puts the density of states at the Fermi level at 0.662 states/eV per atom. As for the space group: I4mm, No. 107.